(1)
A geometry-optimized DyLuMnGa structure. Source: Alexandria, functional PBE-GGA.

abc: 7.046 7.046 7.046
angles: 90.00 90.00 90.00
Space group F-43m (No. 216)
Asymmetric unit:
Dy (0.000, 0.000, 0.000) x4
Lu (0.000, 0.000, 0.500) x4
Mn (0.250, 0.250, 0.750) x4
Ga (0.250, 0.250, 0.250) x4

Results
Uncorrected energy = -5.50 eV/atom

=====

(2)
A geometry-optimized DyLuGaNi structure. Source: Alexandria, functional PBE-GGA.

abc: 6.898 6.898 6.898
angles: 90.00 90.00 90.00
Space group F-43m (No. 216)
Asymmetric unit:
Dy (0.000, 0.000, 0.000) x4
Lu (0.000, 0.000, 0.500) x4
Ga (0.250, 0.250, 0.750) x4
Ni (0.250, 0.250, 0.250) x4

Results
Uncorrected energy = -4.96 eV/atom